Record 1
VASP calculation (PBE-GGA) on a relaxed ScGa2I6 crystal.

The calculation puts the uncorrected formation energy at -0.741 eV per atom. The calculation puts the total energy at -28.35 eV/f.u. For the size of the total moment, the calculation gives 0.00 μB per formula unit.

a = 7.5577 Å, b = 10.7864 Å, c = 10.7864 Å
α = 66.98°, β = 79.96°, γ = 79.96°
Sites, in units of the cell vectors:
I 0.8885 0.1672 0.0250
I 0.6115 0.9750 0.8328
I 0.7059 0.2377 0.4229
Ga 0.6474 0.4742 0.4285
I 0.1115 0.8328 0.9750
Ga 0.8526 0.5715 0.5258
I 0.7941 0.5771 0.7623
I 0.3469 0.3603 0.8369
I 0.2941 0.7623 0.5771
I 0.3885 0.0250 0.1672
Sc 0.2500 0.0863 0.9137
I 0.8469 0.8369 0.3603
I 0.2059 0.4229 0.2377
Ga 0.1474 0.4285 0.4742
I 0.6531 0.6397 0.1631
Sc 0.7500 0.9137 0.0863
I 0.1531 0.1631 0.6397
Ga 0.3526 0.5258 0.5715


Record 2
VASP calculation (PBE-GGA) on a relaxed Be2TlMoAu crystal.

The value obtained for the energy relative to the elements is 1.16 eV per atom. The calculation puts the total energy at -18.15 eV/f.u. For the size of the total moment, the calculation gives 2.70 μB per formula unit.

a = 4.3118 Å, b = 4.3118 Å, c = 5.4621 Å
α = 90.00°, β = 90.00°, γ = 90.00°
Each line ends with the local moment (μB).
Sites, in units of the cell vectors:
Au 0.0000 0.0000 0.0000  -0.03
Be 0.5000 0.0000 0.0000  -0.04
Tl 0.0000 0.0000 0.5000  -0.07
Be 0.0000 0.5000 0.0000  -0.04
Mo 0.5000 0.5000 0.5000  2.57


Record 3
VASP calculation (PBE-GGA) on a relaxed Pm2UInRh6 crystal.

The value obtained for the energy relative to the elements is -0.40 eV per atom. The calculation puts the total energy at -71.65 eV/f.u. For the size of the total moment, the calculation gives 0.00 μB per formula unit.

a = 8.7204 Å, b = 5.7890 Å, c = 5.7833 Å
α = 59.97°, β = 70.82°, γ = 90.02°
Sites, in units of the cell vectors:
Rh 0.7227 0.7452 0.0236
Pm 0.6275 0.2089 0.5824
In 0.0000 0.0000 0.0000
U 0.5000 0.5000 0.0000
Rh 0.7235 0.7446 0.5111
Rh 0.2774 0.7685 0.9761
Rh 0.2773 0.2548 0.9764
Rh 0.2765 0.2554 0.4889
Pm 0.3725 0.7911 0.4176
Rh 0.7226 0.2315 0.0239